Entry P
DFT (GGA-PBEsol) results for Li2Ca after structural relaxation.

a = 6.127 Å, b = 6.127 Å, c = 6.127 Å
α = 60.00°, β = 60.00°, γ = 60.00°
Fractional coordinates of all 6 atoms:
1 Ca 0.250 0.250 0.250
2 Ca 0.000 0.000 0.000
3 Li 0.625 0.625 0.625
4 Li 0.625 0.625 0.125
5 Li 0.125 0.625 0.625
6 Li 0.625 0.125 0.625

Results
N(E_F) = 4.363 states/eV per cell
theoretical density = 1.102 g/cm3

=====

Entry Q
DFT (GGA-PBEsol) results for Li2Ca after structural relaxation.

a = 3.791 Å, b = 3.791 Å, c = 6.236 Å
α = 107.70°, β = 107.70°, γ = 90.00°
Fractional coordinates of all 3 atoms:
1 Ca 0.500 0.500 0.000
2 Li 0.191 0.191 0.382
3 Li 0.809 0.809 0.618

Results
N(E_F) = 2.224 states/eV per cell
theoretical density = 1.107 g/cm3

=====

Short version: entry P is the most stable of them.

=====

Entry P
DFT (GGA-PBEsol) results for Te3P after structural relaxation.

a = 5.113 Å, b = 5.113 Å, c = 5.130 Å
α = 119.89°, β = 119.89°, γ = 90.00°
Fractional coordinates of all 4 atoms:
1 P 0.000 0.000 0.000
2 Te 0.750 0.250 0.500
3 Te 0.500 0.500 0.000
4 Te 0.250 0.750 0.500

Results
N(E_F) = 2.937 states/eV per cell
theoretical density = 7.221 g/cm3

=====

Entry Q
DFT (GGA-PBEsol) results for Te3P after structural relaxation.

a = 3.717 Å, b = 3.717 Å, c = 8.455 Å
α = 90.00°, β = 90.00°, γ = 120.00°
Fractional coordinates of all 4 atoms:
1 P 0.000 0.000 0.000
2 Te 0.000 0.000 0.500
3 Te 0.333 0.667 0.781
4 Te 0.333 0.667 0.219

Results
N(E_F) = 2.655 states/eV per cell
theoretical density = 6.792 g/cm3

=====

Short version: entry Q is the most stable of them.

=====

Entry P
DFT (GGA-PBEsol) results for CoAgBr2 after structural relaxation.

a = 3.593 Å, b = 3.593 Å, c = 7.298 Å
α = 75.75°, β = 75.75°, γ = 60.00°
Fractional coordinates of all 4 atoms:
1 Co 0.500 0.500 0.500
2 Br 0.236 0.236 0.293
3 Br 0.764 0.764 0.707
4 Ag 0.000 0.000 0.000

Results
N(E_F) = 3.264 states/eV per cell
theoretical density = 6.932 g/cm3

=====

Entry Q
DFT (GGA-PBEsol) results for CoAgBr2 after structural relaxation.

a = 3.256 Å, b = 3.941 Å, c = 6.637 Å
α = 107.27°, β = 104.20°, γ = 90.00°
Fractional coordinates of all 4 atoms:
1 Co 0.475 0.475 0.950
2 Br 0.028 0.028 0.056
3 Br 0.809 0.309 0.617
4 Ag 0.188 0.688 0.376

Results
N(E_F) = 3.334 states/eV per cell
theoretical density = 6.900 g/cm3

=====

Short version: entry P is the most stable of them.